Compound: LiTaCu2Se4
Source: OQMD
Functional: PBE
Structure: optimized geometry

Cell: 5.6836 5.6836 6.1471 Å, 90.00 90.00 90.00°
Last column: nearest neighbours and their distance in Å.
Atoms (fractional coordinates):
Li 0.0000 0.0000 0.0000  4 Se 2.58
Ta 0.0000 0.0000 0.5000  4 Se 2.45
Cu 0.0000 0.5000 0.5000  4 Se 2.47
Cu 0.5000 0.0000 0.5000  4 Se 2.47
Se 0.2480 0.2480 0.2676  1 Ta 2.45, 2 Cu 2.47, 1 Li 2.58
Se 0.2480 0.7520 0.7324  1 Ta 2.45, 2 Cu 2.47, 1 Li 2.58
Se 0.7520 0.2480 0.7324  1 Ta 2.45, 2 Cu 2.47, 1 Li 2.58
Se 0.7520 0.7520 0.2676  1 Ta 2.45, 2 Cu 2.47, 1 Li 2.58

Output
crystal system	tetragonal
uncorrected energy	-5.088	eV/atom
mass density	5.275	g/cm³